# LiTlSiF2 (GGA-PBE, relaxed)
data_LiTlSiF2
_symmetry_space_group_name_H-M 'P 4/m m m'
_symmetry_Int_Tables_number 123
_symmetry_space_group_name_Hall '-P 4 2'
_cell_length_a 4.585
_cell_length_b 4.585
_cell_length_c 5.361
_cell_angle_alpha 90.00
_cell_angle_beta 90.00
_cell_angle_gamma 90.00
loop_
_atom_site_label
_atom_site_type_symbol
_atom_site_fract_x
_atom_site_fract_y
_atom_site_fract_z
Li1 Li 0.000 0.000 0.000
Tl1 Tl 0.500 0.500 0.500
Si1 Si 0.500 0.500 0.000
F1 F 0.000 0.500 0.500
# **Fermi-level density of states**: 2.1 states/eV per cell
# **Formation energy without anion corrections**: -655.7 meV per atom